VASP calculation (meta-GGA SCAN) on a crystal of KNd2CuS4 relaxed with PBEsol.

Cell lengths 4.0076, 7.1512, 13.7996 Å; angles 90.00, 90.00, 106.27 degrees
Closest atoms and distances in Å follow each position.
Atoms (fractional coordinates):
K (0.8933, 0.7865, 0.2500)  6 S 3.14-3.25
K (0.1067, 0.2135, 0.7500)  6 S 3.14-3.25
Nd (0.3651, 0.7301, 0.5621)  6 S 2.75-2.86
Nd (0.6349, 0.2699, 0.0621)  6 S 2.75-2.86
Nd (0.3651, 0.7301, 0.9379)  6 S 2.75-2.86
Nd (0.6349, 0.2699, 0.4379)  6 S 2.75-2.86
Cu (0.8378, 0.6756, 0.7500)  4 S 2.31-2.38
Cu (0.1622, 0.3244, 0.2500)  4 S 2.31-2.38
S (0.0000, 0.0000, 0.0000)  4 Nd 2.86
S (0.0000, 0.0000, 0.5000)  4 Nd 2.86
S (0.2640, 0.5281, 0.3833)  1 Cu 2.31
S (0.7360, 0.4719, 0.6167)  1 Cu 2.31
S (0.4308, 0.8617, 0.7500)  2 Cu 2.38
S (0.2640, 0.5281, 0.1167)  1 Cu 2.31
S (0.5692, 0.1383, 0.2500)  2 Cu 2.38
S (0.7360, 0.4719, 0.8833)  1 Cu 2.31

- E_form (uncorrected): -1.877 eV/atom


VASP calculation (meta-GGA SCAN) on a crystal of K3CuO2 relaxed with PBEsol.

Cell lengths 8.5167, 8.5167, 13.1305 Å; angles 90.00, 90.00, 90.00 degrees
Closest atoms and distances in Å follow each position.
Atoms (fractional coordinates):
K (0.0644, 0.4650, 0.4991)  4 O 2.74-2.81
K (0.7660, 0.3498, 0.6430)  2 O 2.59
K (0.2340, 0.6502, 0.1430)  2 O 2.59
K (0.8498, 0.7340, 0.3930)  2 O 2.59
K (0.6502, 0.2340, 0.8570)  2 O 2.59
K (0.1502, 0.2660, 0.8930)  2 O 2.59
K (0.7340, 0.8498, 0.6070)  2 O 2.59
K (0.2660, 0.1502, 0.1070)  2 O 2.59
K (0.9425, 0.9425, 0.0000)  4 O 2.75-2.87
K (0.5575, 0.4425, 0.2500)  4 O 2.75-2.87
K (0.4425, 0.5575, 0.7500)  4 O 2.75-2.87
K (0.0575, 0.0575, 0.5000)  4 O 2.75-2.87
K (0.5253, 0.5253, 0.0000)  4 O 2.71-2.84
K (0.9747, 0.0253, 0.2500)  4 O 2.71-2.84
K (0.0253, 0.9747, 0.7500)  4 O 2.71-2.84
K (0.4747, 0.4747, 0.5000)  4 O 2.71-2.84
K (0.4650, 0.0644, 0.5009)  4 O 2.74-2.81
K (0.9650, 0.4356, 0.2491)  4 O 2.74-2.81
K (0.0350, 0.5644, 0.7491)  4 O 2.74-2.81
K (0.4356, 0.9650, 0.7509)  4 O 2.74-2.81
K (0.5644, 0.0350, 0.2509)  4 O 2.74-2.81
K (0.5350, 0.9356, 0.0009)  4 O 2.74-2.81
K (0.3498, 0.7660, 0.3570)  2 O 2.59
K (0.9356, 0.5350, 0.9991)  4 O 2.74-2.81
Cu (0.7342, 0.7363, 0.1662)  2 O 1.79
Cu (0.2658, 0.2637, 0.6662)  2 O 1.79
Cu (0.7363, 0.7342, 0.8338)  2 O 1.79
Cu (0.2363, 0.7658, 0.9162)  2 O 1.79
Cu (0.7637, 0.2342, 0.4162)  2 O 1.79
Cu (0.7658, 0.2363, 0.0838)  2 O 1.79
Cu (0.2342, 0.7637, 0.5838)  2 O 1.79
Cu (0.2637, 0.2658, 0.3338)  2 O 1.79
O (0.7631, 0.0235, 0.4170)  1 Cu 1.79
O (0.2369, 0.9765, 0.9170)  1 Cu 1.79
O (0.0235, 0.7631, 0.5830)  1 Cu 1.79
O (0.5235, 0.7369, 0.1670)  1 Cu 1.79
O (0.4765, 0.2631, 0.6670)  1 Cu 1.79
O (0.7369, 0.5235, 0.8330)  1 Cu 1.79
O (0.2631, 0.4765, 0.3330)  1 Cu 1.79
O (0.9765, 0.2369, 0.0830)  1 Cu 1.79
O (0.7673, 0.4444, 0.4206)  1 Cu 1.79
O (0.2673, 0.0556, 0.3294)  1 Cu 1.79
O (0.7327, 0.9444, 0.8294)  1 Cu 1.79
O (0.0556, 0.2673, 0.6706)  1 Cu 1.79
O (0.9444, 0.7327, 0.1706)  1 Cu 1.79
O (0.2327, 0.5556, 0.9206)  1 Cu 1.79
O (0.4444, 0.7673, 0.5794)  1 Cu 1.79
O (0.5556, 0.2327, 0.0794)  1 Cu 1.79

- E_form (uncorrected): -1.220 eV/atom


VASP calculation (meta-GGA SCAN) on a crystal of K3Cu5O4 relaxed with PBEsol.

Cell lengths 7.0898, 9.4384, 13.6693 Å; angles 107.52, 90.00, 90.00 degrees
Closest atoms and distances in Å follow each position.
Atoms (fractional coordinates):
K (0.0711, 0.6742, 0.1064)  2 O 2.67-2.88
K (0.5711, 0.3258, 0.3936)  2 O 2.67-2.88
K (0.9289, 0.3258, 0.8936)  2 O 2.67-2.88
K (0.4289, 0.6742, 0.6064)  2 O 2.67-2.88
K (0.7654, 0.7349, 0.4148)  4 O 2.57-2.73
K (0.2654, 0.2651, 0.0852)  4 O 2.57-2.73
K (0.2346, 0.2651, 0.5852)  4 O 2.57-2.73
K (0.7346, 0.7349, 0.9148)  4 O 2.57-2.73
K (0.6680, 0.1007, 0.5934)  4 O 2.63-2.76
K (0.3320, 0.8993, 0.4066)  4 O 2.63-2.76
K (0.1680, 0.8993, 0.9066)  4 O 2.63-2.76
K (0.8320, 0.1007, 0.0934)  4 O 2.63-2.76
Cu (0.4580, 0.3080, 0.8776)  2 O 1.83-1.84
Cu (0.9580, 0.6920, 0.6224)  2 O 1.83-1.84
Cu (0.5420, 0.6920, 0.1224)  2 O 1.83-1.84
Cu (0.0420, 0.3080, 0.3776)  2 O 1.83-1.84
Cu (0.1804, 0.5535, 0.3895)  2 O 1.81-1.85
Cu (0.6804, 0.4465, 0.1105)  2 O 1.81-1.85
Cu (0.8196, 0.4465, 0.6105)  2 O 1.81-1.85
Cu (0.1634, 0.0656, 0.2462)  2 O 1.80-1.84
Cu (0.6634, 0.9344, 0.2538)  2 O 1.80-1.84
Cu (0.8366, 0.9344, 0.7538)  2 O 1.80-1.84
Cu (0.3366, 0.0656, 0.7462)  2 O 1.80-1.84
Cu (0.9346, 0.4346, 0.2364)  2 O 1.81-1.83
Cu (0.4346, 0.5654, 0.2636)  2 O 1.81-1.83
Cu (0.0654, 0.5654, 0.7636)  2 O 1.81-1.83
Cu (0.5654, 0.4346, 0.7364)  2 O 1.81-1.83
Cu (0.9118, 0.0661, 0.3856)  2 O 1.80-1.85
Cu (0.4118, 0.9339, 0.1144)  2 O 1.80-1.85
Cu (0.0882, 0.9339, 0.6144)  2 O 1.80-1.85
Cu (0.5882, 0.0661, 0.8856)  2 O 1.80-1.85
Cu (0.3196, 0.5535, 0.8895)  2 O 1.81-1.85
O (0.9241, 0.3861, 0.0976)  2 Cu 1.81
O (0.0645, 0.5163, 0.6238)  3 Cu 1.83-1.85
O (0.4355, 0.5163, 0.1238)  3 Cu 1.83-1.85
O (0.5645, 0.4837, 0.8762)  3 Cu 1.83-1.85
O (0.9355, 0.4837, 0.3762)  3 Cu 1.83-1.85
O (0.3451, 0.1368, 0.8872)  3 Cu 1.84-1.85
O (0.8451, 0.8632, 0.6128)  3 Cu 1.84-1.85
O (0.6549, 0.8632, 0.1128)  3 Cu 1.84-1.85
O (0.1549, 0.1368, 0.3872)  3 Cu 1.84-1.85
O (0.8268, 0.0042, 0.8919)  2 Cu 1.80
O (0.3268, 0.9958, 0.6081)  2 Cu 1.80
O (0.1732, 0.9958, 0.1081)  2 Cu 1.80
O (0.4241, 0.6139, 0.4024)  2 Cu 1.81
O (0.0759, 0.6139, 0.9024)  2 Cu 1.81
O (0.5759, 0.3861, 0.5976)  2 Cu 1.81
O (0.6732, 0.0042, 0.3919)  2 Cu 1.80

- E_form (uncorrected): -0.962 eV/atom


VASP calculation (meta-GGA SCAN) on a crystal of K2CuP2O7 relaxed with PBEsol.

Cell lengths 5.4437, 8.0876, 8.0876 Å; angles 90.00, 90.00, 90.00 degrees
Closest atoms and distances in Å follow each position.
Atoms (fractional coordinates):
K (0.4916, 0.3334, 0.8334)  6 O 2.66-2.84
K (0.5084, 0.1666, 0.3334)  6 O 2.66-2.84
K (0.4916, 0.6666, 0.1666)  6 O 2.66-2.84
K (0.5084, 0.8334, 0.6666)  6 O 2.66-2.84
Cu (0.0000, 0.5000, 0.5000)  4 O 1.92
Cu (0.0000, 0.0000, 0.0000)  4 O 1.92
P (0.9841, 0.3662, 0.1338)  4 O 1.50-1.63
P (0.0159, 0.1338, 0.6338)  4 O 1.50-1.63
P (0.9841, 0.6338, 0.8662)  4 O 1.50-1.63
P (0.0159, 0.8662, 0.3662)  4 O 1.50-1.63
O (0.8783, 0.5000, 0.0000)  2 P 1.63
O (0.1217, 0.0000, 0.5000)  2 P 1.63
O (0.8602, 0.5782, 0.7040)  1 P 1.54
O (0.1398, 0.9218, 0.2040)  1 P 1.54
O (0.8602, 0.4218, 0.2960)  1 P 1.54
O (0.1398, 0.0782, 0.7960)  1 P 1.54
O (0.1398, 0.7040, 0.4218)  1 P 1.54
O (0.8602, 0.7960, 0.9218)  1 P 1.54
O (0.1398, 0.2960, 0.5782)  1 P 1.54
O (0.8602, 0.2040, 0.0782)  1 P 1.54
O (0.2599, 0.3668, 0.1332)  1 P 1.50
O (0.7401, 0.1332, 0.6332)  1 P 1.50
O (0.2599, 0.6332, 0.8668)  1 P 1.50
O (0.7401, 0.8668, 0.3668)  1 P 1.50

- E_form (uncorrected): -2.260 eV/atom